# 1
Compound: Sc2Al5Ru
Source: Alexandria via LeMat-Bulk
Functional: PBE
Structure: relaxed

The space group is I4mm (No. 107) and the conventional cell measures 6.176, 6.176 and 7.039 Å, with angles of 90.00, 90.00 and 90.00 degrees. The distinct sites, in fractional coordinates, are Sc at (0.000, 0.500, 0.000), Al at (0.000, 0.000, 0.445), Al at (0.220, 0.220, 0.748) and Ru at (0.000, 0.000, 0.068).

Its density is 4.0 g/cm³. The calculation puts the total magnetization at 0.00 Bohr magnetons per cell. The value obtained for the energy relative to the elements is -0.41 eV per atom. The crystal system is tetragonal.

***

# 2
Compound: In3NiPd6
Source: Alexandria via LeMat-Bulk
Functional: PBE
Structure: relaxed

The space group is P2_1/m (No. 11) and the conventional cell measures 7.594, 4.674 and 9.985 Å, with angles of 90.00, 111.56 and 90.00 degrees. The distinct sites, in fractional coordinates, are In at (0.073, 0.250, 0.229), In at (0.299, 0.250, 0.015), In at (0.330, 0.750, 0.387), Ni at (0.109, 0.750, 0.568), Pd at (0.079, 0.250, 0.710), Pd at (0.106, 0.750, 0.077), Pd at (0.271, 0.250, 0.524), Pd at (0.304, 0.750, 0.859), Pd at (0.484, 0.250, 0.322) and Pd at (0.493, 0.250, 0.827).

Its density is 10.5 g/cm³. The calculation puts the total magnetization at 0.47 Bohr magnetons per cell. The value obtained for the energy relative to the elements is -0.37 eV per atom. The crystal system is monoclinic.

***

# 3
Compound: Ca4Fe12Sb
Source: Alexandria via LeMat-Bulk
Functional: PBE
Structure: relaxed

The space group is Im-3 (No. 204) and the conventional cell measures 8.877, 8.877 and 8.877 Å, with angles of 90.00, 90.00 and 90.00 degrees. The distinct sites, in fractional coordinates, are Ca at (0.250, 0.250, 0.250), Fe at (0.000, 0.127, 0.378) and Sb at (0.000, 0.000, 0.000).

The formation energy without anion corrections is 1.28 eV per atom. Its density is 4.5 g/cm³. The calculation puts the total magnetization at 62.15 Bohr magnetons per cell. The crystal system is cubic.

***

# 4
Compound: Sm6MgHg2
Source: Alexandria via LeMat-Bulk
Functional: PBE
Structure: relaxed

The space group is C2/m (No. 12) and the conventional cell measures 15.162, 3.581 and 11.739 Å, with angles of 90.00, 118.83 and 90.00 degrees. The distinct sites, in fractional coordinates, are Sm at (0.034, 0.000, 0.240), Sm at (0.140, 0.500, 0.050), Sm at (0.235, 0.000, 0.617), Mg at (0.000, 0.000, 0.500) and Hg at (0.152, 0.500, 0.776).

Its density is 7.9 g/cm³. The calculation puts the total magnetization at 0.00 Bohr magnetons per cell. The value obtained for the energy relative to the elements is -0.06 eV per atom. The crystal system is monoclinic.

***

# 5
Compound: InRePb2
Source: Alexandria via LeMat-Bulk
Functional: PBE
Structure: relaxed

The space group is R-3m (No. 166, hexagonal axes) and the conventional cell measures 3.2648, 3.2648 and 31.9743 Å, with angles of 90.00, 90.00 and 120.00 degrees. The distinct sites, in fractional coordinates, are In at (0.0000, 0.0000, 0.0000), Re at (0.0000, 0.0000, 0.5000) and Pb at (0.0000, 0.0000, 0.2367).

Its density is 12.1 g/cm³. The calculation puts the total magnetization at 0.20 Bohr magnetons per cell. The value obtained for the energy relative to the elements is 0.64 eV per atom. The polymorph energy (0 for the lowest one) comes out at 49.7 kJ/mol of formula units. The crystal system is trigonal.

***

# 6
Compound: TbPrNd5Sm2
Source: Alexandria via LeMat-Bulk
Functional: PBE
Structure: relaxed

The space group is I4/mcm (No. 140) and the conventional cell measures 8.981, 8.981 and 15.663 Å, with angles of 90.00, 90.00 and 90.00 degrees. The distinct sites, in fractional coordinates, are Tb at (0.000, 0.500, 0.250), Pr at (0.000, 0.000, 0.250), Nd at (0.000, 0.000, 0.000), Nd at (0.207, 0.293, 0.137) and Sm at (0.116, 0.384, 0.500).

Its density is 6.9 g/cm³. The calculation puts the total magnetization at 0.00 Bohr magnetons per cell. The value obtained for the energy relative to the elements is 0.27 eV per atom. The crystal system is tetragonal.

***

# 7
Compound: MnCd3As
Source: Alexandria via LeMat-Bulk
Functional: PBE
Structure: relaxed

The space group is Pm-3m (No. 221) and the conventional cell measures 5.111, 5.111 and 5.111 Å, with angles of 90.00, 90.00 and 90.00 degrees. The distinct sites, in fractional coordinates, are Mn at (0.000, 0.000, 0.000), Cd at (0.000, 0.000, 0.500) and As at (0.500, 0.500, 0.500).

Its density is 5.8 g/cm³. The calculation puts the total magnetization at 3.76 Bohr magnetons per cell. The value obtained for the energy relative to the elements is 0.77 eV per atom. The polymorph energy (0 for the lowest one) comes out at 32.7 kJ/mol of formula units. The crystal system is cubic.

***

# 8
Compound: CsScW2Br
Source: Alexandria via LeMat-Bulk
Functional: PBE
Structure: relaxed

The space group is P4/mmm (No. 123) and the conventional cell measures 4.823, 4.823 and 5.282 Å, with angles of 90.00, 90.00 and 90.00 degrees. The distinct sites, in fractional coordinates, are Cs at (0.000, 0.000, 0.000), Sc at (0.500, 0.500, 0.000), W at (0.000, 0.500, 0.500) and Br at (0.500, 0.500, 0.500).

The formation energy without anion corrections is 1.94 eV per atom. Its density is 8.5 g/cm³. The calculation puts the total magnetization at 0.00 Bohr magnetons per cell. The crystal system is tetragonal.